1.
The following is a DFT calculation (GGA-PBE) of a relaxed structure of PmWN4.

Calculated density (Mg/m³): 8.7
E_form (uncorrected) (meV/atom): 259.2
Size of the total moment (μB per cell): 0.00

a = 3.5154 Å, b = 3.5154 Å, c = 5.9114 Å
α = 90.00°, β = 90.00°, γ = 90.00°
Positions (direct):
1 Pm 0.0000 0.0000 0.0000
2 W 0.5000 0.5000 0.5000
3 N 0.5000 0.0000 0.7088
4 N 0.0000 0.5000 0.7088
5 N 0.5000 0.0000 0.2912
6 N 0.0000 0.5000 0.2912



2.
The following is a DFT calculation (GGA-PBE) of a relaxed structure of Pm2W2N7.

Calculated density (Mg/m³): 6.5
E_form (uncorrected) (meV/atom): -420.0
Size of the total moment (μB per cell): 3.05

a = 6.1327 Å, b = 5.4515 Å, c = 6.1327 Å
α = 82.64°, β = 73.42°, γ = 97.36°
Positions (direct):
1 Pm 0.6939 0.5000 0.6939
2 Pm 0.3061 0.5000 0.3061
3 W 0.7669 0.0950 0.2331
4 W 0.2331 0.9050 0.7669
5 N 0.9155 0.2867 0.3950
6 N 0.3951 0.7133 0.9155
7 N 0.0845 0.7133 0.6050
8 N 0.6049 0.2867 0.0845
9 N 0.0000 0.0000 0.0000
10 N 0.5847 0.7887 0.4153
11 N 0.4153 0.2113 0.5847



3.
The following is a DFT calculation (GGA-PBE) of a relaxed structure of Pm2WN4.

Calculated density (Mg/m³): 9.0
E_form (uncorrected) (meV/atom): -1066.7
Size of the total moment (μB per cell): 0.00

a = 3.9576 Å, b = 3.9576 Å, c = 6.8303 Å
α = 106.84°, β = 106.84°, γ = 90.00°
Positions (direct):
1 N 0.8334 0.8334 0.6667
2 N 0.1666 0.1666 0.3333
3 N 0.0000 0.5000 0.0000
4 N 0.5000 0.0000 0.0000
5 W 0.0000 0.0000 0.0000
6 Pm 0.6454 0.6454 0.2908
7 Pm 0.3546 0.3546 0.7092



> Look up the calculated density of the first one.

8.7 Mg/m³